Here is a relaxed structure of LiY2PdW from Alexandria. Energies are from PBE.

a b c (Å): 5.2759 5.2759 4.6938
angles (deg): 90.00 90.00 90.00
With the nearest neighbours (Å) after each atom.
Sites, in units of the cell vectors:
Li1 0.0000 0.0000 0.0000  2 W 2.35
Y1 0.0000 0.5000 0.5000  2 W 2.64
Y2 0.5000 0.0000 0.5000  2 W 2.64
Pd1 0.5000 0.5000 0.0000  8 Y 3.53, 4 Li 3.73
W1 0.0000 0.0000 0.5000  2 Li 2.35

Summary:
Total moment   0.0 μB/cell
Energy relative to the elements   886 meV/atom